The following is a PBE calculation of a geometry-optimized CaCuC structure, from Alexandria via LeMat-Bulk.

Cell lengths 3.737, 4.141, 6.372 Å; angles 95.44, 92.95, 94.53 degrees
Element x y z (fractional)
Cu  0.500  0.738  0.887
Cu  0.500  0.262  0.113
Ca  0.969  0.220  0.730
Ca  0.031  0.780  0.270
C  0.518  0.609  0.582
C  0.482  0.391  0.418

Computed properties:
As for the total DFT energy (no corrections): -0.1870 hartree per atom. As for the excess energy over the best structure of this formula in the dataset: 0.0065 eV/atom. As for the space-group type: P-1 (2). Its crystal system is triclinic. As for the total magnetization: 0.0 μB/cell.